A plane-wave DFT calculation with PBE was carried out for SbPdPb after structural relaxation.

Cell: 6.9580 6.9046 7.1595 Å, 90.00 119.48 90.00°
Fractional coordinates of all 12 atoms:
Sb  0.1611  0.1307  0.3176
Sb  0.1611  0.3693  0.8176
Sb  0.8389  0.6307  0.1824
Sb  0.8389  0.8693  0.6824
Pd  0.2237  0.0154  0.9922
Pd  0.2237  0.4846  0.4922
Pd  0.7763  0.5154  0.5078
Pd  0.7763  0.9846  0.0078
Pb  0.3430  0.6500  0.1970
Pb  0.3430  0.8500  0.6970
Pb  0.6570  0.1500  0.3030
Pb  0.6570  0.3500  0.8030

Summary:
density of states at the Fermi level = 0.36 states/eV per atom
space group = No. 14
formation energy (no corrections) = -0.8 eV per formula unit
final energy = -55.12 eV per cell
spin magnetization = 0.00 μB per atom